Computed, not measured: a relaxed structure of Ca4SnPd at the PBE level of DFT.

Structure (POSCAR):
```
Ca4SnPd
1.0
-0.9736 -1.3689 -5.8564
3.6910 -7.2339 3.4755
-7.7988 1.8096 2.8434
Ca Sn Pd
8 2 2
direct
0.3174 0.6404 0.8675 Ca
0.9499 0.7729 0.1325 Ca
0.6826 0.3596 0.1325 Ca
0.3758 0.9465 0.6557 Ca
0.0501 0.2271 0.8675 Ca
0.6242 0.0535 0.3443 Ca
0.2200 0.2907 0.3443 Ca
0.7800 0.7093 0.6557 Ca
0.3844 0.6344 0.2689 Sn
0.6156 0.3656 0.7311 Sn
0.7519 0.0019 0.0037 Pd
0.2481 0.9981 0.9963 Pd
```

Calculated values
**Space-group type**: No. 15
**Energy relative to the elements**: -0.541 eV/atom
**Volume**: 184.4 Å³/f.u.
**Theoretical density**: 3.47 g cm⁻³